Entry 1:
This record from Alexandria via LeMat-Bulk describes a geometry-optimized CsCa2O structure. The functional is PBE-GGA.

Structure (POSCAR):
```
CsCa2O
1.0
-0.767 3.464 -0.894
0.087 1.047 -3.505
-10.453 -1.022 -2.474
Ca O Cs
2 1 1
Direct
0.123 0.123 0.631 Ca
0.877 0.877 0.369 Ca
0.500 0.500 0.500 O
0.000 0.000 0.000 Cs
```

Uncorrected formation energy = -1.10 eV/atom

---

Entry 2:
This record from Alexandria via LeMat-Bulk describes a geometry-optimized La6NdIr4 structure. The functional is PBE-GGA.

Structure (POSCAR):
```
La6NdIr4
1.0
5.811 0.003 -2.174
-0.916 5.603 -2.451
0.249 -0.186 9.535
La Ir Nd
6 4 1
Direct
0.549 0.124 0.660 La
0.492 0.001 0.000 La
0.053 0.555 0.622 La
0.888 0.876 0.340 La
0.430 0.445 0.378 La
0.170 0.500 0.000 La
0.603 0.658 0.725 Ir
0.364 0.912 0.290 Ir
0.879 0.342 0.275 Ir
0.075 0.088 0.710 Ir
0.997 0.000 0.000 Nd
```

Calculated formation energy = -0.479 eV/atom

---

Entry 3:
This record from Alexandria via LeMat-Bulk describes a geometry-optimized Si3PbAu structure. The functional is PBE-GGA.

Structure (POSCAR):
```
Si3PbAu
1.0
4.934 0.000 0.000
0.000 4.934 0.000
0.000 0.000 4.934
Si Pb Au
3 1 1
Direct
0.000 0.500 0.000 Si
0.000 0.000 0.500 Si
0.500 0.000 0.000 Si
0.500 0.500 0.500 Pb
0.000 0.000 0.000 Au
```

Excess energy over the best structure of this formula in the dataset = 0 meV/atom
Uncorrected formation energy = 0.81 eV/atom

---

Entry 4:
This record from Alexandria via LeMat-Bulk describes a geometry-optimized Pr8HgOs2 structure. The functional is PBE-GGA.

Structure (POSCAR):
```
Pr8HgOs2
1.0
-4.238 1.058 3.784
-3.399 -6.415 -3.625
5.700 -2.131 5.368
Hg Pr Os
1 8 2
Direct
0.000 0.000 0.000 Hg
0.425 0.678 0.937 Pr
0.425 0.937 0.678 Pr
0.794 0.617 0.617 Pr
0.578 0.070 0.331 Pr
0.578 0.331 0.070 Pr
0.202 0.384 0.384 Pr
0.001 0.757 0.254 Pr
0.001 0.254 0.757 Pr
0.498 0.313 0.693 Os
0.498 0.693 0.313 Os
```

Calculated formation energy = -0.053 eV/atom

---

Entry 5:
This record from Alexandria via LeMat-Bulk describes a geometry-optimized Tl2SiAg structure. The functional is PBE-GGA.

Structure (POSCAR):
```
Tl2SiAg
1.0
4.611 0.000 0.000
0.000 5.064 0.000
0.000 0.000 4.018
Tl Si Ag
2 1 1
Direct
0.000 0.000 0.000 Tl
0.500 0.500 0.000 Tl
0.000 0.500 0.500 Si
0.500 0.000 0.500 Ag
```

Excess energy over the best structure of this formula in the dataset = 155 meV/atom
Uncorrected formation energy = 0.41 eV/atom

---

Entry 6:
This record from Alexandria via LeMat-Bulk describes a geometry-optimized Li3ThC4O12 structure. The functional is PBE-GGA.

Structure (POSCAR):
```
Li3ThC4O12
1.0
-4.477 0.479 -4.213
-2.621 -3.581 4.281
-0.140 5.550 2.683
Th O C Li
1 12 4 3
Direct
0.000 0.000 0.000 Th
0.814 0.045 0.634 O
0.085 0.915 0.500 O
0.367 0.633 0.500 O
0.634 0.814 0.045 O
0.045 0.634 0.814 O
0.633 0.500 0.367 O
0.500 0.085 0.915 O
0.955 0.186 0.366 O
0.186 0.366 0.955 O
0.366 0.955 0.186 O
0.500 0.367 0.633 O
0.915 0.500 0.085 O
0.048 0.500 0.952 C
0.500 0.952 0.048 C
0.952 0.048 0.500 C
0.500 0.500 0.500 C
0.447 0.000 0.553 Li
0.553 0.447 0.000 Li
0.000 0.553 0.447 Li
```

Uncorrected formation energy = -1.86 eV/atom

---

Entry 7:
This record from Alexandria via LeMat-Bulk describes a geometry-optimized LiMgTa structure. The functional is PBE-GGA.

Structure (POSCAR):
```
LiMgTa
1.0
-2.006 1.755 1.183
-2.490 -0.237 -1.498
-4.443 -10.891 8.887
Ta Mg Li
2 2 2
Direct
0.248 0.747 0.574 Ta
0.752 0.253 0.426 Ta
0.257 0.758 0.255 Mg
0.743 0.242 0.745 Mg
0.767 0.269 0.084 Li
0.233 0.731 0.916 Li
```

Excess energy over the best structure of this formula in the dataset = 0 meV/atom
Calculated formation energy = 0.081 eV/atom

---

Entry 8:
This record from Alexandria via LeMat-Bulk describes a geometry-optimized MnSi2Tc structure. The functional is PBE-GGA.

Structure (POSCAR):
```
MnSi2Tc
1.0
-0.569 -3.364 -4.130
-1.284 -5.199 0.147
-1.193 5.054 1.318
Tc Si Mn
1 2 1
Direct
0.463 0.463 0.000 Tc
0.033 0.033 0.000 Si
0.777 0.277 0.500 Si
0.227 0.727 0.500 Mn
```

Excess energy over the best structure of this formula in the dataset = 75 meV/atom
Uncorrected formation energy = -0.29 eV/atom

---

Entry 9:
This record from Alexandria via LeMat-Bulk describes a geometry-optimized LiThHg6 structure. The functional is PBE-GGA.

Structure (POSCAR):
```
LiThHg6
1.0
4.680 0.000 0.000
0.000 4.680 0.000
0.000 0.000 8.822
Hg Th Li
6 1 1
Direct
0.000 0.500 0.265 Hg
0.500 0.000 0.735 Hg
0.500 0.500 0.000 Hg
0.500 0.500 0.500 Hg
0.500 0.000 0.265 Hg
0.000 0.500 0.735 Hg
0.000 0.000 0.000 Th
0.000 0.000 0.500 Li
```

Excess energy over the best structure of this formula in the dataset = 0 meV/atom
Calculated formation energy = -0.193 eV/atom

---

Entry 10:
This record from Alexandria via LeMat-Bulk describes a geometry-optimized LaCuSn3 structure. The functional is PBE-GGA.

Structure (POSCAR):
```
LaCuSn3
1.0
-1.349 2.787 -5.190
-5.298 1.752 2.318
2.574 5.067 2.052
Sn Cu La
3 1 1
Direct
0.500 0.000 0.000 Sn
0.000 0.000 0.500 Sn
0.000 0.500 0.000 Sn
0.500 0.500 0.500 Cu
0.000 0.000 0.000 La
```

Excess energy over the best structure of this formula in the dataset = 1501 meV/atom
Calculated formation energy = 1.067 eV/atom

---

Entry 11:
This record from Alexandria via LeMat-Bulk describes a geometry-optimized MnBr structure. The functional is PBE-GGA.

Structure (POSCAR):
```
MnBr
1.0
-6.536 -1.765 -3.014
-5.278 -4.876 -1.811
-2.747 0.786 4.907
Br Mn
3 3
Direct
0.604 0.604 0.678 Br
0.983 0.983 0.192 Br
0.333 0.333 0.716 Br
0.734 0.734 0.982 Mn
0.351 0.351 0.238 Mn
0.161 0.161 0.360 Mn
```

Uncorrected formation energy = -0.13 eV/atom

---

Entry 12:
This record from Alexandria via LeMat-Bulk describes a geometry-optimized Ac2PrTe3 structure. The functional is PBE-GGA.

Structure (POSCAR):
```
Ac2PrTe3
1.0
6.605 0.000 0.000
0.000 9.365 0.002
-3.303 -2.342 6.979
Te Ac Pr
6 4 2
Direct
0.499 0.750 0.000 Te
0.501 0.250 0.000 Te
0.160 0.580 0.321 Te
0.840 0.420 0.679 Te
0.839 0.920 0.679 Te
0.161 0.080 0.321 Te
0.331 0.416 0.662 Ac
0.669 0.084 0.338 Ac
0.669 0.584 0.338 Ac
0.331 0.916 0.662 Ac
0.001 0.250 0.000 Pr
0.999 0.750 0.000 Pr
```

Excess energy over the best structure of this formula in the dataset = 0 meV/atom
Uncorrected formation energy = -1.47 eV/atom